A relaxed structure of AcGa2SiRh4, computed with PBE-GGA.

## Properties
* E_form (uncorrected): -590 kJ/mol of formula units
* space group: R-3m, No. 166
* final energy: -0.23477 Ha/atom
* M_tot: 0.000 μB/f.u.

abc: 4.265 4.265 9.088
angles: 76.43 76.43 60.00
Element x y z (fractional)
Ac: 0.000 0.000 0.000
Ga: 0.761 0.761 0.716
Ga: 0.239 0.239 0.284
Si: 0.500 0.500 0.500
Rh: 0.410 0.410 0.771
Rh: 0.863 0.863 0.412
Rh: 0.137 0.137 0.588
Rh: 0.590 0.590 0.229

=====

A relaxed structure of Ac2HfMgO6, computed with PBE-GGA.

## Properties
* E_form (uncorrected): -3227 kJ/mol of formula units
* space group: P2_1/c, No. 14
* final energy: -0.30488 Ha/atom
* M_tot: 0.000 μB/f.u.

abc: 5.817 5.841 8.228
angles: 90.00 89.92 90.00
Element x y z (fractional)
Ac: 0.007 0.969 0.251
Ac: 0.507 0.531 0.751
Ac: 0.993 0.031 0.749
Ac: 0.493 0.469 0.249
Hf: 0.500 0.000 0.500
Hf: 0.000 0.500 0.000
Mg: 0.500 0.000 0.000
Mg: 0.000 0.500 0.500
O: 0.281 0.713 0.042
O: 0.781 0.787 0.542
O: 0.719 0.287 0.958
O: 0.219 0.213 0.458
O: 0.286 0.718 0.456
O: 0.786 0.782 0.956
O: 0.714 0.282 0.544
O: 0.214 0.218 0.044
O: 0.921 0.520 0.247
O: 0.421 0.980 0.747
O: 0.079 0.480 0.753
O: 0.579 0.020 0.253

=====

A relaxed structure of Th4TcSn, computed with PBE-GGA.

## Properties
* space group: Cmcm, No. 63
* final energy: -0.27536 Ha/atom
* ΔH_f (0 K): -0.910 eV per formula unit
* M_tot: 0.000 μB/f.u.

abc: 5.479 6.552 10.440
angles: 90.00 105.21 90.00
Element x y z (fractional)
Th: 0.899 0.322 0.799
Th: 0.101 0.822 0.201
Th: 0.452 0.822 0.904
Th: 0.548 0.322 0.096
Th: 0.705 0.569 0.410
Th: 0.295 0.069 0.590
Th: 0.705 0.075 0.410
Th: 0.295 0.575 0.590
Tc: 0.582 0.822 0.164
Tc: 0.418 0.322 0.836
Sn: 0.854 0.822 0.709
Sn: 0.146 0.322 0.291

=====

A relaxed structure of YIrOs2Pd, computed with PBE-GGA.

## Properties
* space group: P4/mmm, No. 123
* final energy: -0.27918 Ha/atom
* ΔH_f (0 K): 4.993 eV per formula unit
* M_tot: 0.000 μB/f.u.

abc: 4.695 4.951 4.695
angles: 90.00 90.00 90.00
Element x y z (fractional)
Y: 0.500 0.500 0.500
Ir: 0.000 0.000 0.000
Os: 0.000 0.000 0.500
Os: 0.500 0.000 0.000
Pd: 0.000 0.500 0.000

=====

A relaxed structure of Er5In, computed with PBE-GGA.

## Properties
* space group: Cmmm, No. 65
* final energy: -0.16253 Ha/atom
* ΔH_f (0 K): -0.984 eV per formula unit
* M_tot: 0.001 μB/f.u.

abc: 4.820 4.828 7.820
angles: 107.98 90.00 90.00
Element x y z (fractional)
In: 0.000 0.000 0.000
Er: 0.500 0.832 0.663
Er: 0.000 0.662 0.325
Er: 0.500 0.500 0.000
Er: 0.000 0.338 0.675
Er: 0.500 0.168 0.337

=====

A relaxed structure of PaSi2NiW, computed with PBE-GGA.

## Properties
* E_form (uncorrected): -195 kJ/mol of formula units
* space group: I-4m2, No. 119
* final energy: -0.30204 Ha/atom
* M_tot: 0.000 μB/f.u.

abc: 4.006 4.006 5.902
angles: 109.84 109.84 90.00
Element x y z (fractional)
Pa: 0.000 0.000 0.000
Si: 0.617 0.617 0.233
Si: 0.383 0.383 0.767
Ni: 0.750 0.250 0.500
W: 0.250 0.750 0.500

=====

A relaxed structure of GaHgSe2, computed with PBE-GGA.

## Properties
* E_form (uncorrected): -108 kJ/mol of formula units
* space group: C2/m, No. 12
* final energy: -0.10485 Ha/atom
* M_tot: 0.000 μB/f.u.

abc: 6.838 6.651 8.263
angles: 79.07 90.00 120.93
Element x y z (fractional)
Ga: 0.567 0.135 0.328
Ga: 0.433 0.865 0.672
Hg: 0.119 0.239 0.976
Hg: 0.881 0.761 0.024
Se: 0.651 0.301 0.046
Se: 0.355 0.710 0.429
Se: 0.645 0.290 0.571
Se: 0.349 0.699 0.954

=====

A relaxed structure of La6Ag3Pd, computed with PBE-GGA.

## Properties
* space group: P2_1/c, No. 14
* final energy: -0.16637 Ha/atom
* ΔH_f (0 K): -1.960 eV per formula unit
* M_tot: 0.002 μB/f.u.

abc: 7.640 7.867 10.919
angles: 90.00 83.00 90.00
Element x y z (fractional)
La: 0.692 0.169 0.930
La: 0.633 0.168 0.580
La: 0.673 0.469 0.245
La: 0.327 0.531 0.755
La: 0.367 0.832 0.420
La: 0.308 0.831 0.070
La: 0.192 0.331 0.430
La: 0.133 0.332 0.080
La: 0.173 0.031 0.745
La: 0.827 0.969 0.255
La: 0.867 0.668 0.920
La: 0.808 0.669 0.570
Ag: 0.553 0.866 0.781
Ag: 0.500 0.500 0.000
Ag: 0.447 0.134 0.219
Ag: 0.053 0.634 0.281
Ag: 0.000 0.000 0.500
Ag: 0.947 0.366 0.719
Pd: 0.500 0.500 0.500
Pd: 0.000 0.000 0.000

=====

A relaxed structure of ReS, computed with PBE-GGA.

## Properties
* E_form (uncorrected): 39 kJ/mol of formula units
* space group: Fddd, No. 70
* final energy: -0.29711 Ha/atom
* M_tot: 0.000 μB/f.u.

abc: 6.884 11.359 9.054
angles: 90.00 90.00 90.00
Element x y z (fractional)
Re: 0.000 0.125 0.000
Re: 0.000 0.875 0.000
Re: 0.250 0.625 0.250
Re: 0.250 0.875 0.250
Re: 0.000 0.625 0.500
Re: 0.000 0.375 0.500
Re: 0.250 0.125 0.750
Re: 0.250 0.375 0.750
Re: 0.500 0.125 0.500
Re: 0.500 0.875 0.500
Re: 0.750 0.625 0.750
Re: 0.750 0.875 0.750
Re: 0.500 0.625 0.000
Re: 0.500 0.375 0.000
Re: 0.750 0.125 0.250
Re: 0.750 0.375 0.250
S: 0.000 0.000 0.798
S: 0.000 0.000 0.202
S: 0.250 0.750 0.452
S: 0.250 0.750 0.048
S: 0.000 0.500 0.298
S: 0.000 0.500 0.702
S: 0.250 0.250 0.952
S: 0.250 0.250 0.548
S: 0.500 0.000 0.298
S: 0.500 0.000 0.702
S: 0.750 0.750 0.952
S: 0.750 0.750 0.548
S: 0.500 0.500 0.798
S: 0.500 0.500 0.202
S: 0.750 0.250 0.452
S: 0.750 0.250 0.048

=====

A relaxed structure of KAl2SF, computed with PBE-GGA.

## Properties
* E_form (uncorrected): -202 kJ/mol of formula units
* space group: P4/mmm, No. 123
* final energy: -0.12259 Ha/atom
* M_tot: 0.000 μB/f.u.

abc: 4.835 6.861 4.835
angles: 90.00 90.00 90.00
Element x y z (fractional)
K: 0.000 0.500 0.000
F: 0.500 0.500 0.500
S: 0.000 0.000 0.000
Al: 0.000 0.000 0.500
Al: 0.500 0.000 0.000

=====

A relaxed structure of K2LaTl, computed with PBE-GGA.

## Properties
* space group: Cmmm, No. 65
* final energy: -0.07702 Ha/atom
* ΔH_f (0 K): 1.105 eV per formula unit
* M_tot: 0.415 μB/f.u.

abc: 7.443 7.443 3.656
angles: 90.00 90.00 122.43
Element x y z (fractional)
K: 0.000 0.000 0.000
K: 0.500 0.500 0.000
La: 0.500 0.000 0.500
Tl: 0.000 0.500 0.500

=====

A relaxed structure of SrSc2MnBr, computed with PBE-GGA.

## Properties
* E_form (uncorrected): 217 kJ/mol of formula units
* space group: P4/mmm, No. 123
* final energy: -0.16862 Ha/atom
* M_tot: 0.000 μB/f.u.

abc: 5.216 4.520 5.216
angles: 90.00 90.00 90.00
Element x y z (fractional)
Sc: 0.000 0.000 0.500
Sc: 0.500 0.000 0.000
Sr: 0.500 0.500 0.500
Mn: 0.000 0.500 0.000
Br: 0.000 0.000 0.000